! Rb5GaBr8 | the Alexandria database | PBE-GGA | optimized geometry; values from VASP
! energy relative to the elements, uncorrected	-1.4356	eV per atom
! total DFT energy (no corrections)	-2.953	eV per atom
! space-group type	I-4
&SYSTEM
  ibrav = 0, nat = 14, ntyp = 3
/
ATOMIC_SPECIES
Rb 85.47 Rb.upf
Br 79.90 Br.upf
Ga 69.72 Ga.upf
CELL_PARAMETERS angstrom
-7.723 5.467 -1.378
2.441 -5.660 -7.310
-0.874 -6.830 6.635
ATOMIC_POSITIONS crystal
Rb 0.000 0.500 0.500
Br 0.704 0.855 0.547
Rb 0.419 0.181 0.007
Br 0.827 0.501 0.105
Br 0.173 0.277 0.673
Br 0.308 0.453 0.158
Rb 0.175 0.993 0.413
Rb 0.581 0.587 0.762
Br 0.396 0.895 0.723
Br 0.296 0.842 0.151
Br 0.604 0.327 0.499
Rb 0.825 0.238 0.819
Ga 0.500 0.750 0.250
Br 0.692 0.849 0.145


! CaAl2Co9 | the Alexandria database | PBE-GGA | optimized geometry; values from VASP
! ΔH_f (0 K)	0.090	eV per atom
! total DFT energy (no corrections)	-6.030	eV per atom
! space-group type	P6/mmm
&SYSTEM
  ibrav = 0, nat = 12, ntyp = 3
/
ATOMIC_SPECIES
Al 26.98 Al.upf
Co 58.93 Co.upf
Ca 40.08 Ca.upf
CELL_PARAMETERS angstrom
8.104 0.000 0.000
-4.052 7.018 0.000
0.000 0.000 2.603
ATOMIC_POSITIONS crystal
Al 0.333 0.667 0.000
Co 0.000 0.500 0.000
Co 0.368 0.184 0.500
Ca 0.000 0.000 0.000
Co 0.816 0.184 0.500
Co 0.632 0.816 0.500
Al 0.667 0.333 0.000
Co 0.184 0.816 0.500
Co 0.500 0.000 0.000
Co 0.500 0.500 0.000
Co 0.184 0.368 0.500
Co 0.816 0.632 0.500


! CuPBr2 | the Alexandria database | PBE-GGA | optimized geometry; values from VASP
! energy relative to the elements, uncorrected	0.7050	eV per atom
! excess energy over the best structure of this formula in the dataset	849.9	meV/atom
! total DFT energy (no corrections)	-2.508	eV per atom
! space-group type	P4/mmm
&SYSTEM
  ibrav = 0, nat = 4, ntyp = 3
/
ATOMIC_SPECIES
Br 79.90 Br.upf
Cu 63.55 Cu.upf
P 30.97 P.upf
CELL_PARAMETERS angstrom
4.898 0.009 0.000
-0.010 4.898 0.000
0.000 0.000 3.310
ATOMIC_POSITIONS crystal
Br 0.000 0.000 0.000
Br 0.500 0.500 0.000
Cu 0.500 0.000 0.500
P 0.000 0.500 0.500


! ZrNi | the Alexandria database | PBE-GGA | optimized geometry; values from VASP
! ΔH_f (0 K)	-0.225	eV per atom
! total DFT energy (no corrections)	-7.390	eV per atom
! space-group type	P6_3/mmc
&SYSTEM
  ibrav = 0, nat = 4, ntyp = 2
/
ATOMIC_SPECIES
Zr 91.22 Zr.upf
Ni 58.69 Ni.upf
CELL_PARAMETERS angstrom
4.075 0.000 0.000
-2.038 3.529 0.000
0.000 0.000 4.981
ATOMIC_POSITIONS crystal
Zr 0.333 0.667 0.250
Ni 0.000 0.000 0.000
Ni 0.000 0.000 0.500
Zr 0.667 0.333 0.750


! SmZnFe2H8 | the Alexandria database | PBE-GGA | optimized geometry; values from VASP
! total DFT energy (no corrections)	-3.984	eV per atom
! space-group type	P-3m1
&SYSTEM
  ibrav = 0, nat = 12, ntyp = 4
/
ATOMIC_SPECIES
Fe 55.84 Fe.upf
Sm 150.36 Sm.upf
H 1.01 H.upf
Zn 65.41 Zn.upf
CELL_PARAMETERS angstrom
4.484 0.000 0.000
-2.242 3.883 0.000
0.000 0.000 6.442
ATOMIC_POSITIONS crystal
Fe 0.333 0.667 0.841
Sm 0.000 0.000 0.500
H 0.293 0.146 0.213
H 0.854 0.146 0.213
Zn 0.000 0.000 0.000
H 0.707 0.854 0.787
Fe 0.667 0.333 0.159
H 0.854 0.707 0.213
H 0.146 0.293 0.787
H 0.333 0.667 0.597
H 0.146 0.854 0.787
H 0.667 0.333 0.403


! Dy3Th | the Alexandria database | PBE-GGA | optimized geometry; values from VASP
! ΔH_f (0 K)	0.054	eV per atom
! excess energy over the best structure of this formula in the dataset	15.1	meV/atom
! total DFT energy (no corrections)	-5.253	eV per atom
! space-group type	P6_3/mmc
&SYSTEM
  ibrav = 0, nat = 8, ntyp = 2
/
ATOMIC_SPECIES
Dy 162.50 Dy.upf
Th 232.04 Th.upf
CELL_PARAMETERS angstrom
-4.023 -3.537 2.078
4.943 -5.166 0.776
-1.267 4.601 5.380
ATOMIC_POSITIONS crystal
Dy 0.750 0.665 0.832
Dy 0.250 0.335 0.168
Th 0.750 0.667 0.333
Dy 0.250 0.832 0.665
Dy 0.250 0.832 0.168
Th 0.250 0.333 0.667
Dy 0.750 0.168 0.832
Dy 0.750 0.168 0.335